The following is a DFT calculation (PBE) of crystalline TaSnIN2 at its relaxed geometry.

Summary:
For the total magnetization, the calculation gives 0.0 Bohr magnetons per cell. Its total energy is -6.311 eV/atom. The volume is 20.0 Å³ per atom. As for the distance to the lowest polymorph of the same formula: 0.000 eV/atom.

a b c (Å): 4.1990 4.1990 5.6738
angles (deg): 90.00 90.00 90.00
Closest atoms and distances in Å follow each position.
Positions (direct):
I: 0.0000 0.0000 0.5000  2 Ta 2.84, 4 Sn 2.97
N: 0.0000 0.5000 0.0000  2 Ta 2.10
N: 0.5000 0.0000 0.0000  2 Ta 2.10
Sn: 0.5000 0.5000 0.5000  4 I 2.97
Ta: 0.0000 0.0000 0.0000  4 N 2.10

The following is a DFT calculation (PBE) of crystalline TaSnIN2 at its relaxed geometry.

Summary:
For the total magnetization, the calculation gives 0.2 Bohr magnetons per cell. Its total energy is -4.850 eV/atom. The volume is 19.5 Å³ per atom. As for the distance to the lowest polymorph of the same formula: 1.460 eV/atom.

a b c (Å): 4.1342 4.1342 5.6996
angles (deg): 90.00 90.00 90.00
Closest atoms and distances in Å follow each position.
Positions (direct):
I: 0.0000 0.0000 0.5000  2 Sn 2.85, 4 Ta 2.92
N: 0.0000 0.5000 0.0000  2 Sn 2.07
N: 0.5000 0.0000 0.0000  2 Sn 2.07
Sn: 0.0000 0.0000 0.0000  4 N 2.07
Ta: 0.5000 0.5000 0.5000  4 I 2.92

The following is a DFT calculation (PBE) of crystalline TaSnI2N at its relaxed geometry.

Summary:
For the total magnetization, the calculation gives 2.9 Bohr magnetons per cell. Its total energy is -4.090 eV/atom. The volume is 27.9 Å³ per atom. As for the distance to the lowest polymorph of the same formula: 1.198 eV/atom.

a b c (Å): 6.0641 6.0641 3.7896
angles (deg): 90.00 90.00 90.00
Closest atoms and distances in Å follow each position.
Positions (direct):
I: 0.0000 0.5000 0.0000  2 Sn 3.03
I: 0.5000 0.0000 0.0000  2 Sn 3.03
N: 0.0000 0.0000 0.5000  2 Sn 1.89
Sn: 0.0000 0.0000 0.0000  2 N 1.89
Ta: 0.5000 0.5000 0.5000  8 I 3.58, 2 Ta 3.79